# PBE-GGA Pr2AlFe16, relaxed
# - E_form (eV/atom) = 0.007
# - DOS at the Fermi energy (states/eV/f.u.) = 21.7
# - magnetic moment (μB per atom) = 1.827
data_Pr2AlFe16
_chemical_formula_sum 'Pr6 Al3 Fe48'
_symmetry_space_group_name_H-M 'R 3 m'
_symmetry_Int_Tables_number 160
_symmetry_space_group_name_Hall 'R 3 -2"'
_cell_length_a 8.5287
_cell_length_b 8.5287
_cell_length_c 12.5942
_cell_angle_alpha 90.00
_cell_angle_beta 90.00
_cell_angle_gamma 120.00
loop_
_atom_site_label
_atom_site_type_symbol
_atom_site_fract_x
_atom_site_fract_y
_atom_site_fract_z
_atom_site_occupancy
Pr1 Pr 0.0000 0.0000 0.0000 1
Pr2 Pr 0.0000 0.0000 0.3122 1
Al1 Al 0.0000 0.0000 0.7502 1
Fe1 Fe 0.0000 0.0000 0.5568 1
Fe2 Fe 0.0002 0.5001 0.1548 1
Fe3 Fe 0.0006 0.2862 0.6549 1
Fe4 Fe 0.0024 0.5012 0.4972 1
Fe5 Fe 0.1681 0.3361 0.1454 1


# PBE-GGA PrAlFe4, relaxed
# - E_form (eV/atom) = 0.014
# - DOS at the Fermi energy (states/eV/f.u.) = 6.3
# - magnetic moment (μB per atom) = 1.275
data_PrAlFe4
_chemical_formula_sum 'Pr4 Al4 Fe16'
_symmetry_space_group_name_H-M 'F -4 3 m'
_symmetry_Int_Tables_number 216
_symmetry_space_group_name_Hall 'F -4 2 3'
_cell_length_a 7.127
_cell_length_b 7.127
_cell_length_c 7.127
_cell_angle_alpha 90.00
_cell_angle_beta 90.00
_cell_angle_gamma 90.00
loop_
_atom_site_label
_atom_site_type_symbol
_atom_site_fract_x
_atom_site_fract_y
_atom_site_fract_z
_atom_site_occupancy
Pr1 Pr 0.000 0.000 0.000 1
Al1 Al 0.250 0.250 0.750 1
Fe1 Fe 0.123 0.123 0.377 1


# PBE-GGA PrAl10Fe2, relaxed
# - E_form (eV/atom) = -0.349
# - DOS at the Fermi energy (states/eV/f.u.) = 4.7
# - magnetic moment (μB per atom) = 0.000
data_PrAl10Fe2
_chemical_formula_sum 'Pr4 Al40 Fe8'
_symmetry_space_group_name_H-M 'C m c m'
_symmetry_Int_Tables_number 63
_symmetry_space_group_name_Hall '-C 2c 2'
_cell_length_a 8.992
_cell_length_b 10.191
_cell_length_c 9.056
_cell_angle_alpha 90.00
_cell_angle_beta 90.00
_cell_angle_gamma 90.00
loop_
_atom_site_label
_atom_site_type_symbol
_atom_site_fract_x
_atom_site_fract_y
_atom_site_fract_z
_atom_site_occupancy
Pr1 Pr 0.000 0.122 0.250 1
Al1 Al 0.000 0.163 0.598 1
Al2 Al 0.000 0.376 0.051 1
Al3 Al 0.149 0.371 0.750 1
Al4 Al 0.228 0.360 0.250 1
Al5 Al 0.229 0.000 0.000 1
Fe1 Fe 0.250 0.250 0.000 1


# PBE-GGA PrAl6Fe6, relaxed
# - E_form (eV/atom) = -0.331
# - DOS at the Fermi energy (states/eV/f.u.) = 9.5
# - magnetic moment (μB per atom) = 0.790
data_PrAl6Fe6
_chemical_formula_sum 'Pr2 Al12 Fe12'
_symmetry_space_group_name_H-M 'I m m m'
_symmetry_Int_Tables_number 71
_symmetry_space_group_name_Hall '-I 2 2'
_cell_length_a 5.007
_cell_length_b 8.605
_cell_length_c 8.715
_cell_angle_alpha 90.00
_cell_angle_beta 90.00
_cell_angle_gamma 90.00
loop_
_atom_site_label
_atom_site_type_symbol
_atom_site_fract_x
_atom_site_fract_y
_atom_site_fract_z
_atom_site_occupancy
Pr1 Pr 0.000 0.000 0.000 1
Al1 Al 0.000 0.000 0.349 1
Al2 Al 0.000 0.340 0.000 1
Al3 Al 0.000 0.500 0.300 1
Fe1 Fe 0.000 0.258 0.500 1
Fe2 Fe 0.250 0.250 0.250 1


# PBE-GGA PrAl11Fe, relaxed
# - E_form (eV/atom) = -0.200
# - DOS at the Fermi energy (states/eV/f.u.) = 5.4
# - magnetic moment (μB per atom) = 0.000
data_PrAl11Fe
_chemical_formula_sum 'Pr2 Al22 Fe2'
_symmetry_space_group_name_H-M 'C 1 2/m 1'
_symmetry_Int_Tables_number 12
_cell_length_a 5.173
_cell_length_b 12.582
_cell_length_c 7.206
_cell_angle_alpha 90.00
_cell_angle_beta 109.19
_cell_angle_gamma 90.00
loop_
_symmetry_equiv_pos_as_xyz
'x,y,z'
'-x,-y,-z'
'-x,y,-z'
'x,-y,z'
'x+1/2,y+1/2,z'
'-x+1/2,-y+1/2,-z'
'-x+1/2,y+1/2,-z'
'x+1/2,-y+1/2,z'
loop_
_atom_site_label
_atom_site_type_symbol
_atom_site_fract_x
_atom_site_fract_y
_atom_site_fract_z
_atom_site_occupancy
Pr1 Pr 0.000 0.000 0.000 1
Al1 Al 0.000 0.000 0.500 1
Al2 Al 0.110 0.391 0.235 1
Al3 Al 0.195 0.172 0.364 1
Al4 Al 0.250 0.250 0.000 1
Fe1 Fe 0.000 0.500 0.500 1


# PBE-GGA PrAl9Fe2, relaxed
# - E_form (eV/atom) = -0.328
# - DOS at the Fermi energy (states/eV/f.u.) = 7.1
# - magnetic moment (μB per atom) = 0.000
data_PrAl9Fe2
_chemical_formula_sum 'Pr4 Al36 Fe8'
_symmetry_space_group_name_H-M 'I 41/a m d'
_symmetry_Int_Tables_number 141
_cell_length_a 10.634
_cell_length_b 10.634
_cell_length_c 6.825
_cell_angle_alpha 90.00
_cell_angle_beta 90.00
_cell_angle_gamma 90.00
loop_
_symmetry_equiv_pos_as_xyz
'x,y,z'
'-x,-y,-z'
'-y+1/4,x+3/4,z+1/4'
'y+1/4,-x+3/4,-z+1/4'
'-x+1/2,-y,z+1/2'
'x+1/2,y,-z+1/2'
'y+1/4,-x+1/4,z+3/4'
'-y+1/4,x+1/4,-z+3/4'
'x,-y,-z'
'-x,y,z'
'-y+1/4,-x+1/4,-z+3/4'
'y+1/4,x+1/4,z+3/4'
'-x+1/2,y,-z+1/2'
'x+1/2,-y,z+1/2'
'y+1/4,x+3/4,-z+1/4'
'-y+1/4,-x+3/4,z+1/4'
'x+1/2,y+1/2,z+1/2'
'-x+1/2,-y+1/2,-z+1/2'
'-y+3/4,x+1/4,z+3/4'
'y+3/4,-x+1/4,-z+3/4'
'-x,-y+1/2,z'
'x,y+1/2,-z'
'y+3/4,-x+3/4,z+1/4'
'-y+3/4,x+3/4,-z+1/4'
'x+1/2,-y+1/2,-z+1/2'
'-x+1/2,y+1/2,z+1/2'
'-y+3/4,-x+3/4,-z+1/4'
'y+3/4,x+3/4,z+1/4'
'-x,y+1/2,-z'
'x,-y+1/2,z'
'y+3/4,x+1/4,-z+3/4'
'-y+3/4,-x+1/4,z+3/4'
loop_
_atom_site_label
_atom_site_type_symbol
_atom_site_fract_x
_atom_site_fract_y
_atom_site_fract_z
_atom_site_occupancy
Pr1 Pr 0.000 0.250 0.375 1
Al1 Al 0.000 0.250 0.875 1
Al2 Al 0.123 0.051 0.694 1
Fe1 Fe 0.000 0.000 0.000 1


# PBE-GGA Pr2ScAl12Fe3, relaxed
# - E_form (eV/atom) = 0.170
# - DOS at the Fermi energy (states/eV/f.u.) = 12.9
# - magnetic moment (μB per atom) = 0.000
data_Pr2ScAl12Fe3
_chemical_formula_sum 'Pr6 Sc3 Al36 Fe9'
_symmetry_space_group_name_H-M 'R -3 m'
_symmetry_Int_Tables_number 166
_symmetry_space_group_name_Hall '-R 3 2"'
_cell_length_a 8.5453
_cell_length_b 8.5453
_cell_length_c 18.6426
_cell_angle_alpha 90.00
_cell_angle_beta 90.00
_cell_angle_gamma 120.00
loop_
_atom_site_label
_atom_site_type_symbol
_atom_site_fract_x
_atom_site_fract_y
_atom_site_fract_z
_atom_site_occupancy
Pr1 Pr 0.0000 0.0000 0.0824 1
Sc1 Sc 0.0000 0.0000 0.5000 1
Al1 Al 0.0785 0.5393 0.8814 1
Al2 Al 0.1011 0.5506 0.3199 1
Fe1 Fe 0.0000 0.5000 0.0000 1


# PBE-GGA PrAl2Fe2Si, relaxed
# - DOS at the Fermi energy (states/eV/f.u.) = 5.3
# - magnetic moment (μB per atom) = 0.141
# - uncorrected formation energy (eV/atom) = -0.28
data_PrAl2Fe2Si
_chemical_formula_sum 'Pr1 Al2 Fe2 Si1'
_symmetry_space_group_name_H-M 'P 4/m m m'
_symmetry_Int_Tables_number 123
_symmetry_space_group_name_Hall '-P 4 2'
_cell_length_a 4.244
_cell_length_b 4.244
_cell_length_c 5.760
_cell_angle_alpha 90.00
_cell_angle_beta 90.00
_cell_angle_gamma 90.00
loop_
_atom_site_label
_atom_site_type_symbol
_atom_site_fract_x
_atom_site_fract_y
_atom_site_fract_z
_atom_site_occupancy
Pr1 Pr 0.000 0.000 0.000 1
Al1 Al 0.500 0.500 0.251 1
Fe1 Fe 0.000 0.500 0.500 1
Si1 Si 0.000 0.000 0.500 1


# PBE-GGA TbPr2Al12Fe3, relaxed
# - E_form (eV/atom) = 0.120
# - DOS at the Fermi energy (states/eV/f.u.) = 12.7
# - magnetic moment (μB per atom) = 0.000
data_TbPr2Al12Fe3
_chemical_formula_sum 'Tb3 Pr6 Al36 Fe9'
_symmetry_space_group_name_H-M 'R -3 m'
_symmetry_Int_Tables_number 166
_symmetry_space_group_name_Hall '-R 3 2"'
_cell_length_a 8.5581
_cell_length_b 8.5581
_cell_length_c 18.8486
_cell_angle_alpha 90.00
_cell_angle_beta 90.00
_cell_angle_gamma 120.00
loop_
_atom_site_label
_atom_site_type_symbol
_atom_site_fract_x
_atom_site_fract_y
_atom_site_fract_z
_atom_site_occupancy
Tb1 Tb 0.0000 0.0000 0.0000 1
Pr1 Pr 0.0000 0.0000 0.4166 1
Al1 Al 0.0903 0.5451 0.3836 1
Al2 Al 0.0990 0.5495 0.8208 1
Fe1 Fe 0.0000 0.5000 0.5000 1


# PBE-GGA Pr2TmAl12Fe3, relaxed
# - E_form (eV/atom) = 0.140
# - DOS at the Fermi energy (states/eV/f.u.) = 12.6
# - magnetic moment (μB per atom) = 0.000
data_Pr2TmAl12Fe3
_chemical_formula_sum 'Pr6 Tm3 Al36 Fe9'
_symmetry_space_group_name_H-M 'R -3 m'
_symmetry_Int_Tables_number 166
_symmetry_space_group_name_Hall '-R 3 2"'
_cell_length_a 8.5562
_cell_length_b 8.5562
_cell_length_c 18.7886
_cell_angle_alpha 90.00
_cell_angle_beta 90.00
_cell_angle_gamma 120.00
loop_
_atom_site_label
_atom_site_type_symbol
_atom_site_fract_x
_atom_site_fract_y
_atom_site_fract_z
_atom_site_occupancy
Pr1 Pr 0.0000 0.0000 0.0830 1
Tm1 Tm 0.0000 0.0000 0.5000 1
Al1 Al 0.0861 0.5430 0.8828 1
Al2 Al 0.1003 0.5501 0.3208 1
Fe1 Fe 0.0000 0.5000 0.0000 1